Record 1
## AlFeNi2 (PBE)

Data for a geometry-optimized AlFeNi2 structure.

## Properties
total magnetization: 3.501 μB/f.u.
ΔH_f (0 K): -0.300 eV per atom

Cell: 2.6506 3.3679 5.2892 Å, 90.00 90.00 90.00°
With the nearest neighbours (Å) after each atom.
Positions (direct):
Al: 0.5000 0.5000 0.2500  8 Ni 2.53, 2 Fe 2.64, 2 Al 2.65
Ni: 0.0000 0.0000 0.9953  4 Fe 2.51, 4 Al 2.53, 4 Ni 2.59-2.69
Ni: 0.0000 0.0000 0.5047  4 Fe 2.51, 4 Al 2.53, 4 Ni 2.59-2.69
Fe: 0.5000 0.5000 0.7500  8 Ni 2.51, 2 Al 2.64, 2 Fe 2.65

---

Record 2
## AlFeNi2 (PBE)

Data for a geometry-optimized AlFeNi2 structure.

## Properties
total magnetization: 3.095 μB/f.u.
ΔH_f (0 K): -0.151 eV per atom

Cell: 8.1821 8.1821 8.1821 Å, 18.37 18.37 18.37°
With the nearest neighbours (Å) after each atom.
Positions (direct):
Al: 0.2500 0.2500 0.2500  6 Ni 2.50, 6 Al 2.61
Fe: 0.7500 0.7500 0.7500  6 Ni 2.53, 6 Fe 2.61
Ni: 0.9991 0.9991 0.9991  3 Al 2.50, 3 Fe 2.53, 6 Ni 2.61
Ni: 0.5009 0.5009 0.5009  3 Al 2.50, 3 Fe 2.53, 6 Ni 2.61

---

Record 3
## AlFe2Ni (PBE)

Data for a geometry-optimized AlFe2Ni structure.

## Properties
total magnetization: 4.641 μB/f.u.
ΔH_f (0 K): -0.279 eV per atom

Cell: 4.0518 4.0518 4.0518 Å, 60.00 60.00 60.00°
With the nearest neighbours (Å) after each atom.
Positions (direct):
Fe: 0.0000 0.0000 0.0000  4 Ni 2.48, 4 Fe 2.48
Fe: 0.2500 0.2500 0.2500  4 Fe 2.48, 4 Al 2.48
Al: 0.5000 0.5000 0.5000  4 Fe 2.48, 4 Ni 2.48
Ni: 0.7500 0.7500 0.7500  4 Fe 2.48, 4 Al 2.48

---

Record 4
## AlFe2Ni8 (PBE)

Data for a geometry-optimized AlFe2Ni8 structure.

## Properties
total magnetization: 9.098 μB/f.u.
ΔH_f (0 K): -0.176 eV per atom

Cell: 3.5577 5.6283 6.6356 Å, 104.79 105.55 90.00°
With the nearest neighbours (Å) after each atom.
Positions (direct):
Ni: 0.6819 0.9091 0.3637  3 Fe 2.47-2.48, 8 Ni 2.49-2.52, 1 Al 2.51
Ni: 0.8612 0.8136 0.7225  3 Fe 2.48-2.53, 7 Ni 2.49-2.56, 2 Al 2.53
Ni: 0.9547 0.2766 0.9094  1 Fe 2.47, 9 Ni 2.47-2.56, 2 Al 2.53
Ni: 0.4075 0.5423 0.8150  8 Ni 2.49-2.53, 3 Fe 2.50-2.53, 1 Al 2.53
Ni: 0.1388 0.1864 0.2775  3 Fe 2.48-2.53, 7 Ni 2.49-2.56, 2 Al 2.53
Ni: 0.3181 0.0909 0.6363  3 Fe 2.47-2.48, 8 Ni 2.49-2.52, 1 Al 2.51
Ni: 0.0453 0.7234 0.0906  1 Fe 2.47, 9 Ni 2.47-2.56, 2 Al 2.53
Ni: 0.5925 0.4577 0.1850  8 Ni 2.49-2.53, 3 Fe 2.50-2.53, 1 Al 2.53
Fe: 0.2266 0.6455 0.4533  10 Ni 2.47-2.53, 2 Fe 2.59
Fe: 0.7734 0.3545 0.5467  10 Ni 2.47-2.53, 2 Fe 2.59
Al: 0.5000 0.0000 0.0000  12 Ni 2.51-2.53

---

Record 5
## AlFeNi (PBE)

Data for a geometry-optimized AlFeNi structure.

## Properties
total magnetization: 2.646 μB/f.u.
ΔH_f (0 K): -0.233 eV per atom

Cell: 4.0354 4.0354 2.5787 Å, 90.00 90.00 120.00°
With the nearest neighbours (Å) after each atom.
Positions (direct):
Al: 0.0000 0.0000 0.9684  3 Ni 2.45, 3 Fe 2.54, 2 Al 2.58
Fe: 0.6667 0.3333 0.3587  3 Ni 2.47, 3 Al 2.54, 2 Fe 2.58
Ni: 0.3333 0.6667 0.6729  3 Al 2.45, 3 Fe 2.47, 2 Ni 2.58

---

Record 6
## Al2Fe2Ni (PBE)

Data for a geometry-optimized Al2Fe2Ni structure.

## Properties
total magnetization: 4.742 μB/f.u.
ΔH_f (0 K): 0.376 eV per atom

Cell: 3.5509 3.5509 6.1872 Å, 73.32 73.32 90.00°
With the nearest neighbours (Å) after each atom.
Positions (direct):
Al: 0.2500 0.7500 0.5000  4 Fe 2.49, 4 Al 2.51
Al: 0.7500 0.2500 0.5000  4 Fe 2.49, 4 Al 2.51
Ni: 0.0000 0.0000 0.0000  8 Fe 2.73
Fe: 0.5951 0.5951 0.8097  1 Fe 2.15
Fe: 0.4049 0.4049 0.1903  1 Fe 2.15

---

total magnetization of number 6 (Al2Fe2Ni)?
4.742 μB/f.u.